1.
Material: CoSe3
Method: DFT, GGA-PBEsol
State: optimized geometry

Summary:
Energy relative to the lowest polymorph listed for this composition in eV/atom: 0.694
SG: P4/mmm, No. 123
Total magnetization in μB per formula unit: 0.57
Calculated density in g/cm³: 7.516
Formation energy without anion corrections in eV per atom: 0.562

a = 4.5988 Å, b = 4.5988 Å, c = 3.0900 Å
α = 90.00°, β = 90.00°, γ = 90.00°
Closest atoms and distances in Å follow each position.
Positions (direct):
Co (0.0000, 0.0000, 0.0000)  8 Se 2.77, 2 Co 3.09
Se (0.0000, 0.5000, 0.5000)  6 Se 2.77-3.09, 4 Co 2.77
Se (0.5000, 0.0000, 0.5000)  6 Se 2.77-3.09, 4 Co 2.77
Se (0.5000, 0.5000, 0.0000)  10 Se 2.77-3.09

2.
Material: CoSe
Method: DFT, GGA-PBEsol
State: optimized geometry

Summary:
SG: P-3m1, No. 164
Total magnetization in μB per formula unit: 0.00
Calculated density in g/cm³: 6.563
Formation energy without anion corrections in eV per atom: -0.236

a = 3.6671 Å, b = 3.6671 Å, c = 5.9918 Å
α = 90.00°, β = 90.00°, γ = 120.00°
Closest atoms and distances in Å follow each position.
Positions (direct):
Co (0.3333, 0.6667, 0.1243)  4 Se 2.26-2.28
Co (0.6667, 0.3333, 0.8757)  4 Se 2.26-2.28
Se (0.3333, 0.6667, 0.7431)  4 Co 2.26-2.28
Se (0.6667, 0.3333, 0.2569)  4 Co 2.26-2.28

3.
Material: Co3Se4
Method: DFT, GGA-PBEsol
State: optimized geometry

Summary:
Energy relative to the lowest polymorph listed for this composition in eV/atom: 0.007
SG: C2/m, No. 12
Total magnetization in μB per formula unit: 0.35
Calculated density in g/cm³: 7.650
Formation energy without anion corrections in eV per atom: -0.336

a = 6.0214 Å, b = 6.0214 Å, c = 6.0469 Å
α = 117.91°, β = 117.91°, γ = 34.01°
Closest atoms and distances in Å follow each position.
Positions (direct):
Co (0.0000, 0.0000, 0.0000)  6 Se 2.39-2.40, 2 Co 2.65
Co (0.2630, 0.2630, 0.2818)  6 Se 2.31-2.46
Co (0.7370, 0.7370, 0.7182)  6 Se 2.31-2.46
Se (0.1201, 0.1201, 0.4548)  4 Co 2.31-2.40
Se (0.3661, 0.3661, 0.0235)  5 Co 2.38-2.46
Se (0.6339, 0.6339, 0.9765)  5 Co 2.38-2.46
Se (0.8799, 0.8799, 0.5452)  4 Co 2.31-2.40

4.
Material: Co3Se4
Method: DFT, GGA-PBEsol
State: optimized geometry

Summary:
Energy relative to the lowest polymorph listed for this composition in eV/atom: 0.874
SG: P6/mmm, No. 191
Total magnetization in μB per formula unit: 5.37
Calculated density in g/cm³: 6.332
Formation energy without anion corrections in eV per atom: 0.531

a = 4.4543 Å, b = 4.4543 Å, c = 7.5186 Å
α = 90.00°, β = 90.00°, γ = 120.00°
Closest atoms and distances in Å follow each position.
Positions (direct):
Co (0.0000, 0.5000, 0.0000)  4 Co 2.23
Co (0.5000, 0.0000, 0.0000)  4 Co 2.23
Co (0.5000, 0.5000, 0.0000)  4 Co 2.23
Se (0.0000, 0.0000, 0.1921)  6 Co 2.65, 1 Se 2.89
Se (0.0000, 0.0000, 0.8079)  6 Co 2.65, 1 Se 2.89
Se (0.3333, 0.6667, 0.5000)  3 Se 2.57
Se (0.6667, 0.3333, 0.5000)  3 Se 2.57

5.
Material: Co2SiSe
Method: DFT, GGA-PBEsol
State: optimized geometry

Summary:
SG: Immm, No. 71
Total magnetization in μB per formula unit: 1.40
Calculated density in g/cm³: 7.723
Formation energy without anion corrections in eV per atom: 0.037

a = 4.1611 Å, b = 4.1611 Å, c = 4.1611 Å
α = 124.31°, β = 121.76°, γ = 84.84°
Closest atoms and distances in Å follow each position.
Positions (direct):
Co (0.2358, 0.2358, 0.0000)  4 Si 2.42-2.60, 4 Se 2.49-2.53
Co (0.7642, 0.7642, 0.0000)  4 Si 2.42-2.60, 4 Se 2.49-2.53
Si (0.0000, 0.5000, 0.5000)  8 Co 2.42-2.60
Se (0.5000, 0.0000, 0.5000)  8 Co 2.49-2.53

6.
Material: Co2SiSe
Method: DFT, GGA-PBEsol
State: optimized geometry

Summary:
SG: Imm2, No. 44
Total magnetization in μB per formula unit: 0.00
Calculated density in g/cm³: 7.557
Formation energy without anion corrections in eV per atom: 0.036

a = 4.9664 Å, b = 4.9664 Å, c = 4.9664 Å
α = 145.33°, β = 134.32°, γ = 58.59°
Closest atoms and distances in Å follow each position.
Positions (direct):
Co (0.0000, 0.0000, 0.0000)  2 Se 2.43, 4 Si 2.43, 2 Co 2.64
Co (0.7089, 0.2089, 0.5000)  2 Si 2.38, 4 Se 2.43, 2 Co 2.64
Si (0.4939, 0.4939, 0.0000)  6 Co 2.38-2.43
Se (0.2219, 0.7219, 0.5000)  6 Co 2.43

7.
Material: CoSiTe2Se
Method: DFT, GGA-PBEsol
State: optimized geometry

Summary:
SG: P4/mmm, No. 123
Total magnetization in μB per formula unit: 0.00
Calculated density in g/cm³: 6.524
Formation energy without anion corrections in eV per atom: 0.299

a = 5.0395 Å, b = 5.0395 Å, c = 4.2211 Å
α = 90.00°, β = 90.00°, γ = 90.00°
Closest atoms and distances in Å follow each position.
Positions (direct):
Co (0.0000, 0.0000, 0.0000)  2 Si 2.11
Si (0.0000, 0.0000, 0.5000)  2 Co 2.11
Te (0.0000, 0.5000, 0.0000)  2 Co 2.52
Te (0.5000, 0.0000, 0.0000)  2 Co 2.52
Se (0.5000, 0.5000, 0.5000)  8 Te 3.29, 4 Si 3.56

8.
Material: Co2Sn3Se3
Method: DFT, GGA-PBEsol
State: optimized geometry

Summary:
SG: R-3, No. 148
Total magnetization in μB per formula unit: 0.00
Calculated density in g/cm³: 7.319
Formation energy without anion corrections in eV per atom: -0.423

a = 8.6407 Å, b = 8.6407 Å, c = 8.6407 Å
α = 90.06°, β = 90.06°, γ = 90.06°
Closest atoms and distances in Å follow each position.
Positions (direct):
Co (0.2410, 0.2410, 0.2410)  3 Se 2.35, 3 Sn 2.48
Co (0.2412, 0.7448, 0.7373)  3 Se 2.34-2.37, 3 Sn 2.47-2.50
Co (0.2552, 0.2627, 0.7588)  3 Se 2.34-2.37, 3 Sn 2.47-2.50
Co (0.2627, 0.7588, 0.2552)  3 Se 2.34-2.37, 3 Sn 2.47-2.50
Co (0.7373, 0.2412, 0.7448)  3 Se 2.34-2.37, 3 Sn 2.47-2.50
Co (0.7448, 0.7373, 0.2412)  3 Se 2.34-2.37, 3 Sn 2.47-2.50
Co (0.7588, 0.2552, 0.2627)  3 Se 2.34-2.37, 3 Sn 2.47-2.50
Co (0.7590, 0.7590, 0.7590)  3 Se 2.35, 3 Sn 2.48
Sn (0.0000, 0.1573, 0.6719)  2 Co 2.47-2.50, 1 Se 2.71
Sn (0.0000, 0.8427, 0.3281)  2 Co 2.47-2.50, 1 Se 2.71
Sn (0.1573, 0.6719, 0.0000)  2 Co 2.47-2.50, 1 Se 2.71
Sn (0.1726, 0.5008, 0.3431)  2 Co 2.48, 1 Se 2.71
Sn (0.3281, 0.0000, 0.8427)  2 Co 2.47-2.50, 1 Se 2.71
Sn (0.3431, 0.1726, 0.5008)  2 Co 2.48, 1 Se 2.71
Sn (0.4992, 0.6569, 0.8274)  2 Co 2.48, 1 Se 2.71
Sn (0.5008, 0.3431, 0.1726)  2 Co 2.48, 1 Se 2.71
Sn (0.6569, 0.8274, 0.4992)  2 Co 2.48, 1 Se 2.71
Sn (0.6719, 0.0000, 0.1573)  2 Co 2.47-2.50, 1 Se 2.71
Sn (0.8274, 0.4992, 0.6569)  2 Co 2.48, 1 Se 2.71
Sn (0.8427, 0.3281, 0.0000)  2 Co 2.47-2.50, 1 Se 2.71
Se (0.0021, 0.1567, 0.3391)  2 Co 2.35-2.36
Se (0.1567, 0.3391, 0.0021)  2 Co 2.35-2.36
Se (0.1610, 0.4986, 0.6570)  2 Co 2.34-2.37
Se (0.3391, 0.0021, 0.1567)  2 Co 2.35-2.36
Se (0.3430, 0.8390, 0.5014)  2 Co 2.34-2.37
Se (0.4986, 0.6570, 0.1610)  2 Co 2.34-2.37
Se (0.5014, 0.3430, 0.8390)  2 Co 2.34-2.37
Se (0.6570, 0.1610, 0.4986)  2 Co 2.34-2.37
Se (0.6609, 0.9979, 0.8433)  2 Co 2.35-2.36
Se (0.8390, 0.5014, 0.3430)  2 Co 2.34-2.37
Se (0.8433, 0.6609, 0.9979)  2 Co 2.35-2.36
Se (0.9979, 0.8433, 0.6609)  2 Co 2.35-2.36